[1]
Material: AlAu5
Method: DFT, GGA-PBEsol
State: relaxed

Geometry as extended XYZ:
```
6
Lattice="-2.563 -0.522 2.305 -0.323 -3.484 -3.784 4.176 -2.005 4.190" Properties=species:S:1:pos:R:3 pbc="T T T"
Au -0.344 -2.454 1.699
Au 1.920 -4.196 1.185
Au -0.327 -3.229 -1.094
Au 2.231 -1.322 2.181
Au 1.902 -3.421 3.978
Al 0.143 -0.320 0.087
```

Results
E_tot = -4.121 eV/atom
D(E_F) = 1.683 states/eV per cell
offset from the most stable computed form = 4 meV per atom
spin magnetization = 0.000 μB/atom
energy of formation = -169 meV/atom



[2]
Material: AlAu5
Method: DFT, GGA-PBEsol
State: relaxed

Geometry as extended XYZ:
```
6
Lattice="-2.189 0.892 1.928 0.714 -3.778 2.559 5.901 3.060 2.871" Properties=species:S:1:pos:R:3 pbc="T T T"
Au 3.239 2.363 2.585
Au 0.392 1.531 2.150
Au 4.689 1.271 4.736
Au 1.968 0.531 4.402
Au 1.456 -1.087 2.156
Al 3.666 3.919 4.762
```

Results
E_tot = -4.102 eV/atom
D(E_F) = 1.521 states/eV per cell
offset from the most stable computed form = 22 meV per atom
spin magnetization = 0.000 μB/atom
energy of formation = -150 meV/atom



[3]
Material: AlAu2
Method: DFT, GGA-PBEsol
State: relaxed

Geometry as extended XYZ:
```
3
Lattice="4.244 0.000 0.000 2.122 3.676 0.000 2.122 1.225 3.465" Properties=species:S:1:pos:R:3 pbc="T T T"
Au 6.367 3.676 2.599
Au 2.122 1.225 0.866
Al 0.000 0.000 0.000
```

Results
E_tot = -4.274 eV/atom
D(E_F) = 1.286 states/eV per cell
spin magnetization = 0.000 μB/atom
energy of formation = -294 meV/atom



[4]
Material: Al3BAu
Method: DFT, GGA-PBEsol
State: relaxed

Geometry as extended XYZ:
```
5
Lattice="4.744 0.000 0.000 0.000 4.744 0.000 0.000 0.000 4.744" Properties=species:S:1:pos:R:3 pbc="T T T"
B 2.372 2.372 2.372
Au 0.000 0.000 0.000
Al 0.000 2.372 0.000
Al 0.000 0.000 2.372
Al 2.372 0.000 0.000
```

Results
E_tot = -3.573 eV/atom
D(E_F) = 2.609 states/eV per cell
spin magnetization = 0.000 μB/atom
energy of formation = 1070 meV/atom